Entry 1:
Density functional theory data (PBE-GGA) for Ca2Hg2PPd4 after structural relaxation.

```
Ca2Hg2PPd4
1.0
-5.830 2.245 1.830
2.599 -5.497 2.324
5.616 2.703 1.878
Ca Hg P Pd
2 2 1 4
Direct
0.000 0.717 0.717
0.000 0.283 0.283
0.500 0.750 0.250
0.500 0.250 0.750
0.000 0.000 0.000
0.000 0.735 0.265
0.471 0.735 0.735
0.000 0.265 0.735
0.529 0.265 0.265
```

Properties
SG: I4/mmm, No. 139

=====

Entry 2:
Density functional theory data (PBE-GGA) for Ca3HgP2Pd9 after structural relaxation.

```
Ca3HgP2Pd9
1.0
7.180 0.000 0.000
-3.590 6.218 0.000
0.000 0.000 7.001
Ca Hg P Pd
3 1 2 9
Direct
0.333 0.667 0.681
0.000 0.000 0.000
0.667 0.333 0.319
0.000 0.000 0.500
0.333 0.667 0.131
0.667 0.333 0.869
0.807 0.193 0.661
0.807 0.615 0.661
0.385 0.193 0.661
0.615 0.807 0.339
0.193 0.385 0.339
0.193 0.807 0.339
0.500 0.000 0.000
0.000 0.500 0.000
0.500 0.500 0.000
```

Properties
SG: P-3m1, No. 164

=====

Number 1: energy of formation -389 meV/atom, calculated volume 184 Å³/cell. Number 2: energy of formation -487 meV/atom, calculated volume 313 Å³/cell.